A plane-wave DFT calculation with GGA-PBE was carried out for Co2TcSe after structural relaxation.

For the total DFT energy (no corrections), the calculation gives -6.6662 eV/atom. For the calculated volume, the calculation gives 13.1 Å³/atom. The calculation puts the magnetization at 2.69 μB/f.u.

The structure belongs to space group Pmmm (No. 47); the cell edges are 2.940, 4.195 and 4.246 Å and the angles 90.00°, 90.00° and 90.00°. The asymmetric unit holds Co at (0.000, 0.000, 0.000), Co at (0.500, 0.000, 0.500), Tc at (0.000, 0.500, 0.500) and Se at (0.500, 0.500, 0.000).